[1]
An optimized crystal structure of CaPmPr. Source: the Alexandria database, functional PBE.

Cell lengths 4.259, 4.259, 12.463 Å; angles 90.00, 90.00, 90.00 degrees
Atoms (fractional coordinates):
Ca 0.250 0.250 0.094
Ca 0.750 0.750 0.906
Pm 0.250 0.250 0.429
Pm 0.750 0.750 0.571
Pr 0.250 0.250 0.725
Pr 0.750 0.750 0.275

Properties
- Total energy: -3.75 eV/atom
- Calculated density: 4.8 Mg/m³
- Density of states at the Fermi level: 13.07 states/eV per cell
- Formation energy from the elements: 0.10 eV/atom
- Energy above the lowest structure with this stoichiometry: 0.071 eV per atom
- Symmetry: No. 129

=====

[2]
An optimized crystal structure of CaPm2Pr8. Source: the Alexandria database, functional PBE.

Cell lengths 9.610, 9.610, 9.610 Å; angles 145.17, 125.71, 66.14 degrees
Atoms (fractional coordinates):
Ca 0.000 0.000 0.000
Pm 0.296 0.296 0.000
Pm 0.704 0.704 0.000
Pr 0.155 0.856 0.299
Pr 0.157 0.657 0.500
Pr 0.309 0.500 0.809
Pr 0.443 0.144 0.299
Pr 0.557 0.856 0.701
Pr 0.691 0.500 0.191
Pr 0.843 0.343 0.500
Pr 0.845 0.144 0.701

Properties
- Total energy: -4.38 eV/atom
- Calculated density: 6.0 Mg/m³
- Density of states at the Fermi level: 18.61 states/eV per cell
- Formation energy from the elements: 0.14 eV/atom
- Symmetry: No. 71

=====

[3]
An optimized crystal structure of CaPm4Pr5. Source: the Alexandria database, functional PBE.

Cell lengths 3.706, 3.706, 26.252 Å; angles 90.00, 90.00, 90.00 degrees
Atoms (fractional coordinates):
Ca 0.000 0.000 0.000
Pm 0.000 0.000 0.203
Pm 0.000 0.000 0.401
Pm 0.000 0.000 0.599
Pm 0.000 0.000 0.797
Pr 0.500 0.500 0.107
Pr 0.500 0.500 0.303
Pr 0.500 0.500 0.500
Pr 0.500 0.500 0.697
Pr 0.500 0.500 0.893

Properties
- Total energy: -4.47 eV/atom
- Calculated density: 6.1 Mg/m³
- Density of states at the Fermi level: 14.15 states/eV per cell
- Formation energy from the elements: 0.02 eV/atom
- Symmetry: No. 123

=====

[4]
An optimized crystal structure of CaPmPrRh. Source: the Alexandria database, functional PBE.

Cell lengths 5.315, 5.315, 5.315 Å; angles 60.00, 60.00, 60.00 degrees
Atoms (fractional coordinates):
Ca 0.000 0.000 0.000
Pm 0.250 0.250 0.250
Pr 0.750 0.750 0.750
Rh 0.500 0.500 0.500

Properties
- Total energy: -4.76 eV/atom
- Calculated density: 6.7 Mg/m³
- Density of states at the Fermi level: 4.56 states/eV per cell
- Formation energy from the elements: -0.04 eV/atom
- Symmetry: No. 216

=====

[5]
An optimized crystal structure of Ca3PmPr3S8. Source: the Alexandria database, functional PBE.

Cell lengths 8.143, 8.143, 8.143 Å; angles 60.05, 60.05, 60.05 degrees
Atoms (fractional coordinates):
Ca 0.000 0.500 0.500
Ca 0.500 0.000 0.500
Ca 0.500 0.500 0.000
Pm 0.500 0.500 0.500
Pr 0.000 0.000 0.500
Pr 0.000 0.500 0.000
Pr 0.500 0.000 0.000
S 0.252 0.252 0.252
S 0.255 0.255 0.743
S 0.255 0.743 0.255
S 0.257 0.745 0.745
S 0.743 0.255 0.255
S 0.745 0.257 0.745
S 0.745 0.745 0.257
S 0.748 0.748 0.748

Properties
- Total energy: -5.93 eV/atom
- Calculated density: 4.1 Mg/m³
- Density of states at the Fermi level: 4.66 states/eV per cell
- Symmetry: No. 166

=====

[6]
An optimized crystal structure of CaPm2Pr3S6. Source: the Alexandria database, functional PBE.

Cell lengths 7.035, 7.035, 7.059 Å; angles 99.50, 99.50, 120.03 degrees
Atoms (fractional coordinates):
Ca 0.000 0.000 0.000
Pm 0.333 0.667 0.000
Pm 0.667 0.333 0.000
Pr 0.167 0.833 0.500
Pr 0.500 0.500 0.500
Pr 0.833 0.167 0.500
S 0.080 0.410 0.242
S 0.249 0.249 0.760
S 0.410 0.080 0.242
S 0.590 0.920 0.758
S 0.751 0.751 0.240
S 0.920 0.590 0.758

Properties
- Total energy: -6.25 eV/atom
- Calculated density: 5.5 Mg/m³
- Density of states at the Fermi level: 5.16 states/eV per cell
- Symmetry: No. 12

=====

[7]
An optimized crystal structure of Ca2PmPrS4. Source: the Alexandria database, functional PBE.

Cell lengths 6.961, 4.023, 7.102 Å; angles 90.00, 109.10, 90.00 degrees
Atoms (fractional coordinates):
Ca 0.000 0.000 0.000
Ca 0.500 0.500 0.000
Pm 0.000 0.500 0.500
Pr 0.500 0.000 0.500
S 0.244 0.500 0.242
S 0.249 0.000 0.755
S 0.751 0.000 0.245
S 0.756 0.500 0.758

Properties
- Total energy: -5.81 eV/atom
- Calculated density: 4.4 Mg/m³
- Density of states at the Fermi level: 3.26 states/eV per cell
- Symmetry: No. 10

=====

[8]
An optimized crystal structure of CaPm3Pr4S8. Source: the Alexandria database, functional PBE.

Cell lengths 8.151, 8.151, 8.151 Å; angles 59.79, 59.79, 59.79 degrees
Atoms (fractional coordinates):
Ca 0.000 0.000 0.000
Pm 0.000 0.500 0.500
Pm 0.500 0.000 0.500
Pm 0.500 0.500 0.000
Pr 0.000 0.000 0.500
Pr 0.000 0.500 0.000
Pr 0.500 0.000 0.000
Pr 0.500 0.500 0.500
S 0.245 0.245 0.750
S 0.245 0.750 0.245
S 0.250 0.755 0.755
S 0.252 0.252 0.252
S 0.748 0.748 0.748
S 0.750 0.245 0.245
S 0.755 0.250 0.755
S 0.755 0.755 0.250

Properties
- Total energy: -6.30 eV/atom
- Calculated density: 5.6 Mg/m³
- Density of states at the Fermi level: 7.97 states/eV per cell
- Symmetry: No. 166

=====

[9]
An optimized crystal structure of CaPm4Pr3S8. Source: the Alexandria database, functional PBE.

Cell lengths 8.118, 8.118, 8.118 Å; angles 60.06, 60.06, 60.06 degrees
Atoms (fractional coordinates):
Ca 0.000 0.000 0.000
Pm 0.000 0.000 0.500
Pm 0.000 0.500 0.000
Pm 0.500 0.000 0.000
Pm 0.500 0.500 0.500
Pr 0.000 0.500 0.500
Pr 0.500 0.000 0.500
Pr 0.500 0.500 0.000
S 0.243 0.752 0.752
S 0.248 0.248 0.248
S 0.248 0.248 0.757
S 0.248 0.757 0.248
S 0.752 0.243 0.752
S 0.752 0.752 0.243
S 0.752 0.752 0.752
S 0.757 0.248 0.248

Properties
- Total energy: -6.30 eV/atom
- Calculated density: 5.7 Mg/m³
- Density of states at the Fermi level: 7.79 states/eV per cell
- Symmetry: No. 166

=====

[10]
An optimized crystal structure of CaPm2PrSb4. Source: the Alexandria database, functional PBE.

Cell lengths 7.842, 6.384, 7.842 Å; angles 65.98, 48.04, 65.98 degrees
Atoms (fractional coordinates):
Ca 0.000 0.000 0.000
Pm 0.252 0.252 0.248
Pm 0.752 0.752 0.748
Pr 0.500 0.500 0.500
Sb 0.001 0.500 0.999
Sb 0.254 0.751 0.249
Sb 0.500 0.001 0.500
Sb 0.751 0.254 0.746

Properties
- Total energy: -5.20 eV/atom
- Calculated density: 6.1 Mg/m³
- Density of states at the Fermi level: 5.23 states/eV per cell
- Symmetry: No. 42

=====

[11]
An optimized crystal structure of CaPmPrSc. Source: the Alexandria database, functional PBE.

Cell lengths 5.721, 5.721, 5.721 Å; angles 60.00, 60.00, 60.00 degrees
Atoms (fractional coordinates):
Ca 0.000 0.000 0.000
Pm 0.250 0.250 0.250
Pr 0.750 0.750 0.750
Sc 0.500 0.500 0.500

Properties
- Total energy: -4.34 eV/atom
- Calculated density: 4.7 Mg/m³
- Density of states at the Fermi level: 5.12 states/eV per cell
- Formation energy from the elements: 0.13 eV/atom
- Symmetry: No. 216

=====

[12]
An optimized crystal structure of CaPmPr4Se8. Source: the Alexandria database, functional PBE.

Cell lengths 8.729, 8.729, 8.729 Å; angles 60.18, 60.18, 60.18 degrees
Atoms (fractional coordinates):
Ca 0.000 0.000 0.000
Pm 0.627 0.627 0.627
Pr 0.119 0.627 0.627
Pr 0.249 0.249 0.249
Pr 0.627 0.119 0.627
Pr 0.627 0.627 0.119
Se 0.383 0.383 0.383
Se 0.386 0.386 0.849
Se 0.386 0.849 0.386
Se 0.398 0.865 0.865
Se 0.849 0.386 0.386
Se 0.865 0.398 0.865
Se 0.865 0.865 0.398
Se 0.867 0.867 0.867

Properties
- Total energy: -5.64 eV/atom
- Calculated density: 4.9 Mg/m³
- Density of states at the Fermi level: 4.03 states/eV per cell
- Symmetry: No. 160